Entry 1:
The following is a GGA-PBE calculation of a geometry-optimized BaHg2Bi2Pb structure, from Alexandria via LeMat-Bulk. Values from VASP.

Geometry as Quantum ESPRESSO input:
```
&SYSTEM
  ibrav = 0, nat = 6, ntyp = 4
/
ATOMIC_SPECIES
Bi 208.98 Bi.upf
Hg 200.59 Hg.upf
Ba 137.33 Ba.upf
Pb 207.20 Pb.upf
CELL_PARAMETERS angstrom
5.383 0.000 0.000
-2.692 4.662 0.000
0.000 0.000 7.758
ATOMIC_POSITIONS angstrom
Bi 2.692 1.554 5.277
Bi 0.000 3.108 2.481
Hg 0.000 3.108 6.039
Hg 2.692 1.554 1.719
Ba 0.000 0.000 0.000
Pb 0.000 0.000 3.879
```

Fermi-level density of states in states/eV/f.u.: 1.99

Entry 2:
The following is a GGA-PBE calculation of a geometry-optimized Ba2Hg4Bi2Pd structure, from Alexandria via LeMat-Bulk. Values from VASP.

Geometry as Quantum ESPRESSO input:
```
&SYSTEM
  ibrav = 0, nat = 9, ntyp = 4
/
ATOMIC_SPECIES
Bi 208.98 Bi.upf
Pd 106.42 Pd.upf
Hg 200.59 Hg.upf
Ba 137.33 Ba.upf
CELL_PARAMETERS angstrom
7.298 -0.132 -0.191
-3.619 6.339 0.191
-3.619 -2.048 6.002
ATOMIC_POSITIONS angstrom
Bi -2.011 1.192 1.720
Bi -5.228 3.099 4.473
Pd 0.000 0.000 0.000
Hg -1.929 3.071 4.432
Hg -3.619 0.218 4.432
Hg -3.619 4.073 1.761
Hg 1.988 1.088 1.570
Ba 0.030 4.176 1.548
Ba 0.030 -0.018 4.454
```

Fermi-level density of states in states/eV/f.u.: 3.91

Entry 3:
The following is a GGA-PBE calculation of a geometry-optimized Ba2HgBiPd structure, from Alexandria via LeMat-Bulk. Values from VASP.

Geometry as Quantum ESPRESSO input:
```
&SYSTEM
  ibrav = 0, nat = 5, ntyp = 4
/
ATOMIC_SPECIES
Ba 137.33 Ba.upf
Hg 200.59 Hg.upf
Pd 106.42 Pd.upf
Bi 208.98 Bi.upf
CELL_PARAMETERS angstrom
-3.262 1.351 4.951
4.234 -2.606 3.501
2.481 4.557 0.391
ATOMIC_POSITIONS angstrom
Ba -1.631 0.675 2.475
Ba 2.117 -1.303 1.751
Hg 1.240 2.278 0.196
Pd 0.000 0.000 0.000
Bi 1.726 1.651 4.422
```

Fermi-level density of states in states/eV/f.u.: 3.48

Entry 4:
The following is a GGA-PBE calculation of a geometry-optimized BaHg2BiPd structure, from Alexandria via LeMat-Bulk. Values from VASP.

Geometry as Quantum ESPRESSO input:
```
&SYSTEM
  ibrav = 0, nat = 5, ntyp = 4
/
ATOMIC_SPECIES
Bi 208.98 Bi.upf
Ba 137.33 Ba.upf
Hg 200.59 Hg.upf
Pd 106.42 Pd.upf
CELL_PARAMETERS angstrom
-2.968 3.642 -1.786
-3.475 -3.537 -1.437
0.711 0.369 6.644
ATOMIC_POSITIONS angstrom
Bi -2.756 -1.597 1.323
Ba -2.275 0.382 4.559
Hg -2.551 2.000 1.245
Hg -0.212 0.036 0.426
Pd -4.736 0.307 1.423
```

Fermi-level density of states in states/eV/f.u.: 2.36

| no. | DFT total energy (eV per atom) |
| --- | --- |
| 1 | -2.661 |
| 2 | -2.459 |
| 3 | -3.193 |
| 4 | -2.786 |